Version P
DFT (PBE-GGA) results for a geometry-optimized LaBe3Pt structure.

Lattice parameters (Å, degrees): 10.6949 7.9350 7.9350 105.54 134.63 45.37
With the nearest neighbours (Å) after each atom.
Element x y z (fractional)
Be  0.7871  0.6460  0.8581  4 Be 2.18-2.30, 1 Pt 2.23
Be  0.9245  0.7910  0.9139  5 Be 2.21-2.36, 2 Pt 2.33-2.45
Be  0.4245  0.5861  0.7090  5 Be 2.21-2.36, 2 Pt 2.33-2.45
Be  0.8328  0.1603  0.9629  6 Be 2.16-2.41, 2 Pt 2.32-2.39
Be  0.3328  0.5371  0.3397  6 Be 2.16-2.41, 2 Pt 2.32-2.39
Be  0.2129  0.3540  0.1419  4 Be 2.18-2.30, 1 Pt 2.23
Be  0.7129  0.3581  0.1460  4 Be 2.18-2.30, 1 Pt 2.23
Be  0.0755  0.2090  0.0861  5 Be 2.21-2.36, 2 Pt 2.33-2.45
Be  0.2871  0.6419  0.8540  4 Be 2.18-2.30, 1 Pt 2.23
Be  0.1672  0.8397  0.0371  6 Be 2.16-2.41, 2 Pt 2.32-2.39
Be  0.6672  0.4629  0.6603  6 Be 2.16-2.41, 2 Pt 2.32-2.39
Be  0.5755  0.4139  0.2910  5 Be 2.21-2.36, 2 Pt 2.33-2.45
Pt  0.7500  0.0969  0.5969  6 Be 2.32-2.45
Pt  0.2500  0.4460  0.9460  4 Be 2.23-2.33
Pt  0.7500  0.5540  0.0540  4 Be 2.23-2.33
Pt  0.2500  0.9031  0.4031  6 Be 2.32-2.45
La  0.8447  0.9040  0.2502  6 Be 2.91-3.15, 3 Pt 3.21-3.25
La  0.6553  0.7502  0.4040  6 Be 2.91-3.15, 3 Pt 3.21-3.25
La  0.3447  0.2498  0.5960  6 Be 2.91-3.15, 3 Pt 3.21-3.25
La  0.1553  0.0960  0.7498  6 Be 2.91-3.15, 3 Pt 3.21-3.25

Summary:
symmetry = C2/c


Version Q
DFT (PBE-GGA) results for a geometry-optimized LaBe3Pt structure.

Lattice parameters (Å, degrees): 9.6088 9.6088 4.2580 90.00 90.00 154.51
With the nearest neighbours (Å) after each atom.
Element x y z (fractional)
Be  0.5305  0.9815  0.7500  2 Be 2.07-2.17
Be  0.4695  0.0185  0.2500  2 Be 2.07-2.17
Be  0.0000  0.0000  0.0000  2 Be 2.13, 2 Pt 2.29
Be  0.0185  0.4695  0.7500  2 Be 2.07-2.17
Be  0.9815  0.5305  0.2500  2 Be 2.07-2.17
Be  0.0000  0.0000  0.5000  2 Be 2.13, 2 Pt 2.29
Pt  0.8919  0.1081  0.7500  4 Be 2.29-2.43
Pt  0.1081  0.8919  0.2500  4 Be 2.29-2.43
La  0.6125  0.3875  0.7500  4 Pt 3.01, 10 Be 3.17-3.21
La  0.3875  0.6125  0.2500  4 Pt 3.01, 10 Be 3.17-3.21

Summary:
symmetry = Cmcm


Stability check: which of them is least stable? version Q.


Version P
DFT (PBE-GGA) results for a geometry-optimized TlOs3 structure.

Lattice parameters (Å, degrees): 5.7418 5.7418 4.4734 90.00 90.00 119.16
With the nearest neighbours (Å) after each atom.
Element x y z (fractional)
Os  0.4240  0.5760  0.2500  10 Os 2.70-2.96, 2 Tl 2.91
Os  0.0926  0.4252  0.7500  4 Tl 2.77-2.97, 8 Os 2.78-3.01
Os  0.5748  0.9074  0.7500  4 Tl 2.77-2.97, 8 Os 2.78-3.01
Os  0.5760  0.4240  0.7500  10 Os 2.70-2.96, 2 Tl 2.91
Os  0.4252  0.0926  0.2500  4 Tl 2.77-2.97, 8 Os 2.78-3.01
Os  0.9074  0.5748  0.2500  4 Tl 2.77-2.97, 8 Os 2.78-3.01
Tl  0.0920  0.9080  0.7500  10 Os 2.77-2.97, 2 Tl 2.88
Tl  0.9080  0.0920  0.2500  10 Os 2.77-2.97, 2 Tl 2.88

Summary:
symmetry = Cmcm


Version Q
DFT (PBE-GGA) results for a geometry-optimized TlOs3 structure.

Lattice parameters (Å, degrees): 5.7845 5.7845 4.4609 90.00 90.00 120.00
With the nearest neighbours (Å) after each atom.
Element x y z (fractional)
Os  0.1632  0.8368  0.7500  8 Os 2.77-2.95, 4 Tl 2.81-2.89
Os  0.3265  0.1632  0.2500  8 Os 2.77-2.95, 4 Tl 2.81-2.89
Os  0.8368  0.6735  0.2500  8 Os 2.77-2.95, 4 Tl 2.81-2.89
Os  0.6735  0.8368  0.7500  8 Os 2.77-2.95, 4 Tl 2.81-2.89
Os  0.1632  0.3265  0.7500  8 Os 2.77-2.95, 4 Tl 2.81-2.89
Os  0.8368  0.1632  0.2500  8 Os 2.77-2.95, 4 Tl 2.81-2.89
Tl  0.3333  0.6667  0.2500  12 Os 2.81-2.89
Tl  0.6667  0.3333  0.7500  12 Os 2.81-2.89

Summary:
symmetry = P6_3/mmc


Stability check: which of them is least stable? version Q.


Version P
DFT (PBE-GGA) results for a geometry-optimized B5C7 structure.

Lattice parameters (Å, degrees): 6.0344 6.0344 3.6441 89.95 89.95 143.28
With the nearest neighbours (Å) after each atom.
Element x y z (fractional)
B  0.3822  0.7206  0.9895  2 C 1.62, 1 B 1.82
B  0.1831  0.3169  0.2500  2 C 1.57
B  0.8341  0.6659  0.2500  4 C 1.64-1.67
B  0.7794  0.1178  0.5105  2 C 1.62, 1 B 1.82
B  0.9845  0.5155  0.7500  2 C 1.58
C  0.3332  0.1668  0.7500  4 C 1.55-1.57
C  0.1861  0.8569  0.5063  2 C 1.52-1.55, 2 B 1.58-1.67
C  0.4867  0.0133  0.2500  2 C 1.52, 2 B 1.62
C  0.6807  0.8193  0.7500  2 C 1.53, 2 B 1.62
C  0.0056  0.9986  0.9853  2 C 1.53-1.57, 2 B 1.57-1.64
C  0.6431  0.3139  0.9937  2 C 1.52-1.55, 2 B 1.58-1.67
C  0.5014  0.4944  0.5147  2 C 1.53-1.57, 2 B 1.57-1.64

Summary:
symmetry = C2


Version Q
DFT (PBE-GGA) results for a geometry-optimized B5C7 structure.

Lattice parameters (Å, degrees): 2.6485 2.6485 14.6937 90.00 90.00 120.00
With the nearest neighbours (Å) after each atom.
Element x y z (fractional)
B  0.3333  0.6667  0.7371  3 C 1.54
B  0.3333  0.6667  0.1552  4 C 1.60-1.69
B  0.6667  0.3333  0.8615  4 C 1.67
B  0.0000  0.0000  0.3481  4 C 1.65-1.68
B  0.3333  0.6667  0.4716  3 C 1.54
C  0.6667  0.3333  0.7481  4 B 1.54-1.67
C  0.0000  0.0000  0.0093  4 C 1.49-1.62
C  0.0000  0.0000  0.4604  4 B 1.54-1.65
C  0.3333  0.6667  0.0467  1 B 1.60, 3 C 1.62
C  0.0000  0.0000  0.9076  1 C 1.49, 3 B 1.67
C  0.6667  0.3333  0.2040  1 C 1.42
C  0.6667  0.3333  0.3004  1 C 1.42

Summary:
symmetry = P3m1


Stability check: which of them is least stable? version P.


Version P
DFT (PBE-GGA) results for a geometry-optimized CrIr2W structure.

Lattice parameters (Å, degrees): 4.6965 4.6965 4.7368 80.41 80.41 33.99
With the nearest neighbours (Å) after each atom.
Element x y z (fractional)
Ir  0.2500  0.2500  0.2605  3 W 2.66-2.69, 4 Cr 2.67-2.80, 5 Ir 2.75-2.80
Ir  0.0044  0.0044  0.9738  3 Cr 2.59-2.66, 4 W 2.69-2.79, 5 Ir 2.75-2.80
W  0.5008  0.5008  0.4878  7 Ir 2.66-2.79, 2 W 2.75, 3 Cr 2.78-2.82
Cr  0.7448  0.7448  0.7779  7 Ir 2.59-2.80, 2 Cr 2.75, 3 W 2.78-2.82

Summary:
symmetry = Cm


Version Q
DFT (PBE-GGA) results for a geometry-optimized CrIr2W structure.

Lattice parameters (Å, degrees): 2.7324 2.7324 7.6962 90.00 90.00 90.00
With the nearest neighbours (Å) after each atom.
Element x y z (fractional)
Ir  0.0000  0.0000  0.9804  4 Cr 2.55, 8 Ir 2.73-2.85
Ir  0.5000  0.5000  0.2525  4 W 2.73, 8 Ir 2.73-2.85
W  0.0000  0.0000  0.5035  4 Ir 2.73, 4 W 2.73, 4 Cr 2.78
Cr  0.5000  0.5000  0.7637  4 Ir 2.55, 4 Cr 2.73, 4 W 2.78

Summary:
symmetry = P4mm


Stability check: which of them is least stable? version Q.